Record 1
VASP calculation (PBE-GGA) on an optimized crystal structure of Fe2PI8.

Unit cell a=8.8047 b=8.8047 c=6.9628 alpha=91.30 beta=91.30 gamma=66.26
Sites, in units of the cell vectors:
Fe: 0.1706 0.1706 0.4171
Fe: 0.8294 0.8294 0.5829
P: 0.0000 0.0000 0.0000
I: 0.1190 0.7203 0.7580
I: 0.1630 0.1630 0.7860
I: 0.2797 0.8810 0.2420
I: 0.3359 0.3359 0.3428
I: 0.6641 0.6641 0.6572
I: 0.7203 0.1190 0.7580
I: 0.8370 0.8370 0.2140
I: 0.8810 0.2797 0.2420

Output
Crystal system: monoclinic
Uncorrected formation energy in meV per atom: -75.1

***

Record 2
VASP calculation (PBE-GGA) on an optimized crystal structure of Ti4Pd5Au.

Unit cell a=8.2626 b=9.0238 c=4.5920 alpha=90.00 beta=90.00 gamma=90.00
Sites, in units of the cell vectors:
Ti: 0.0342 0.2500 0.0591
Ti: 0.2500 0.5286 0.2371
Ti: 0.2500 0.9714 0.2371
Ti: 0.4658 0.2500 0.0591
Ti: 0.5342 0.7500 0.9409
Ti: 0.7500 0.0286 0.7629
Ti: 0.7500 0.4714 0.7629
Ti: 0.9658 0.7500 0.9409
Pd: 0.0834 0.0230 0.7500
Pd: 0.0834 0.4770 0.7500
Pd: 0.2500 0.2500 0.4521
Pd: 0.4166 0.0230 0.7500
Pd: 0.4166 0.4770 0.7500
Pd: 0.5834 0.5230 0.2500
Pd: 0.5834 0.9770 0.2500
Pd: 0.7500 0.7500 0.5479
Pd: 0.9166 0.5230 0.2500
Pd: 0.9166 0.9770 0.2500
Au: 0.2500 0.7500 0.6359
Au: 0.7500 0.2500 0.3641

Output
Crystal system: orthorhombic
Formation energy in eV per atom: -0.42

***

Record 3
VASP calculation (PBE-GGA) on an optimized crystal structure of AsOs3Au.

Unit cell a=4.8836 b=4.8836 c=4.8836 alpha=90.00 beta=90.00 gamma=90.00
Sites, in units of the cell vectors:
As: 0.0000 0.0000 0.0000
Os: 0.0000 0.5000 0.5000
Os: 0.5000 0.0000 0.5000
Os: 0.5000 0.5000 0.0000
Au: 0.5000 0.5000 0.5000

Output
Crystal system: cubic
Distance to the lowest polymorph of the same formula in meV per atom: 1287
Formation energy in eV per atom: 2.99

***

Record 4
VASP calculation (PBE-GGA) on an optimized crystal structure of LiPmHg3.

Unit cell a=4.8883 b=4.8883 c=4.8883 alpha=90.00 beta=90.00 gamma=90.00
Sites, in units of the cell vectors:
Li: 0.0000 0.0000 0.0000
Pm: 0.5000 0.5000 0.5000
Hg: 0.0000 0.0000 0.5000
Hg: 0.0000 0.5000 0.0000
Hg: 0.5000 0.0000 0.0000

Output
Crystal system: cubic
Distance to the lowest polymorph of the same formula in meV per atom: 148
Formation energy in eV per atom: -0.24

***

Record 5
VASP calculation (PBE-GGA) on an optimized crystal structure of BaMg2Mo.

Unit cell a=3.0879 b=4.8434 c=7.0219 alpha=90.00 beta=95.27 gamma=90.00
Sites, in units of the cell vectors:
Ba: 0.0000 0.0000 0.0000
Mg: 0.5918 0.5000 0.3216
Mg: 0.5976 0.0000 0.5561
Mo: 0.1660 0.5000 0.6624

Output
Crystal system: monoclinic
Distance to the lowest polymorph of the same formula in meV per atom: 119
Formation energy in eV per atom: 0.64

***

Record 6
VASP calculation (PBE-GGA) on an optimized crystal structure of Er4ZnBi.

Unit cell a=7.8243 b=7.8243 c=6.2651 alpha=100.33 beta=100.33 gamma=113.29
Sites, in units of the cell vectors:
Er: 0.0811 0.7202 0.9466
Er: 0.1996 0.3873 0.6110
Er: 0.2798 0.9189 0.5534
Er: 0.3873 0.1996 0.1110
Er: 0.6127 0.8004 0.8890
Er: 0.7202 0.0811 0.4466
Er: 0.8004 0.6127 0.3890
Er: 0.9189 0.2798 0.0534
Zn: 0.0014 0.9986 0.2500
Zn: 0.9986 0.0014 0.7500
Bi: 0.3859 0.6141 0.2500
Bi: 0.6141 0.3859 0.7500

Output
Crystal system: monoclinic
Distance to the lowest polymorph of the same formula in meV per atom: 20
Formation energy in eV per atom: -0.32

***

Record 7
VASP calculation (PBE-GGA) on an optimized crystal structure of LiCuPO4.

Unit cell a=4.9288 b=4.9008 c=8.5940 alpha=90.00 beta=124.63 gamma=90.00
Sites, in units of the cell vectors:
Li: 0.0000 0.1796 0.0000
Li: 0.0000 0.8204 0.5000
Cu: 0.4785 0.2099 0.4976
Cu: 0.4785 0.7901 0.9976
P: 0.7609 0.3125 0.2485
P: 0.7609 0.6875 0.7485
O: 0.0702 0.2413 0.2487
O: 0.0702 0.7587 0.7487
O: 0.4540 0.1881 0.0676
O: 0.4540 0.8119 0.5676
O: 0.7172 0.3717 0.7467
O: 0.7172 0.6283 0.2467
O: 0.8191 0.1999 0.4337
O: 0.8191 0.8001 0.9337

Output
Crystal system: monoclinic
Distance to the lowest polymorph of the same formula in meV per atom: 23
Uncorrected formation energy in meV per atom: -1783.2

***

Record 8
VASP calculation (PBE-GGA) on an optimized crystal structure of CaAgSe2.

Unit cell a=3.9828 b=3.7081 c=6.9029 alpha=90.00 beta=90.08 gamma=90.00
Sites, in units of the cell vectors:
Ca: 0.0000 0.0000 0.0000
Ag: 0.5000 0.0000 0.5000
Se: 0.4992 0.5000 0.7757
Se: 0.5008 0.5000 0.2243

Output
Crystal system: monoclinic
Uncorrected formation energy in meV per atom: -866.2

***

Record 9
VASP calculation (PBE-GGA) on an optimized crystal structure of Na2Ge4Pd5.

Unit cell a=8.9519 b=8.0113 c=5.7133 alpha=79.50 beta=61.64 gamma=38.87
Sites, in units of the cell vectors:
Na: 0.1238 0.1238 0.8762
Na: 0.8762 0.8762 0.1238
Ge: 0.2141 0.5257 0.4743
Ge: 0.4743 0.7859 0.2141
Ge: 0.5257 0.2141 0.7859
Ge: 0.7859 0.4743 0.5257
Pd: 0.0000 0.0000 0.5000
Pd: 0.2500 0.2500 0.2500
Pd: 0.5000 0.5000 0.0000
Pd: 0.5000 0.5000 0.5000
Pd: 0.7500 0.7500 0.7500

Output
Crystal system: orthorhombic
Formation energy in eV per atom: -0.40

***

Record 10
VASP calculation (PBE-GGA) on an optimized crystal structure of Na2ThPbBr8.

Unit cell a=6.9316 b=9.0229 c=7.2012 alpha=90.00 beta=93.94 gamma=90.00
Sites, in units of the cell vectors:
Na: 0.0000 0.2374 0.0000
Na: 0.0000 0.7626 0.0000
Th: 0.5000 0.5000 0.5000
Pb: 0.5000 0.0000 0.5000
Br: 0.2263 0.0000 0.1680
Br: 0.2326 0.5000 0.1811
Br: 0.2813 0.2696 0.6613
Br: 0.2813 0.7304 0.6613
Br: 0.7187 0.2696 0.3387
Br: 0.7187 0.7304 0.3387
Br: 0.7674 0.5000 0.8189
Br: 0.7737 0.0000 0.8320

Output
Crystal system: monoclinic
Uncorrected formation energy in meV per atom: -1449.3

***

Record 11
VASP calculation (PBE-GGA) on an optimized crystal structure of LuPu.

Unit cell a=3.8277 b=3.8277 c=3.8277 alpha=90.00 beta=90.00 gamma=90.00
Sites, in units of the cell vectors:
Lu: 0.0000 0.0000 0.0000
Pu: 0.5000 0.5000 0.5000

Output
Crystal system: cubic
Distance to the lowest polymorph of the same formula in meV per atom: 56
Formation energy in eV per atom: 0.26

***

Record 12
VASP calculation (PBE-GGA) on an optimized crystal structure of Nd3Zn2Co2.

Unit cell a=5.8494 b=5.8494 c=7.9446 alpha=110.68 beta=110.68 gamma=38.57
Sites, in units of the cell vectors:
Nd: 0.0000 0.0000 0.0000
Nd: 0.1934 0.1934 0.6672
Nd: 0.8066 0.8066 0.3328
Zn: 0.4795 0.4795 0.6712
Zn: 0.5205 0.5205 0.3288
Co: 0.3032 0.3032 0.0641
Co: 0.6968 0.6968 0.9359

Output
Crystal system: monoclinic
Formation energy in eV per atom: -0.21

***

no.,Fermi-level density of states (states/eV per cell),V (Å³ per cell)
1,3.8,493.9
2,13.5,342.4
3,6.3,116.5
4,2.9,116.8
5,3.9,104.6
6,14.0,333.0
7,4.7,170.8
8,1.0,101.9
9,3.2,212.8
10,0.0,449.3
11,6.3,56.1
12,5.8,157.2